# 1
DFT (PBE) results for a geometry-optimized Ho2ThHg3 structure.

Computed properties:
- M_tot (μB per cell) = 0.01
- space group = P4/mmm
- formation enthalpy at 0 K (eV per atom) = -0.385

a b c (Å): 3.662 3.662 11.709
angles (deg): 90.00 90.00 90.00
Fractional coordinates of all 6 atoms:
Hg1 0.000 0.000 0.000
Hg2 0.000 0.000 0.685
Hg3 0.000 0.000 0.315
Ho1 0.500 0.500 0.160
Ho2 0.500 0.500 0.840
Th1 0.500 0.500 0.500

# 2
DFT (PBE) results for a geometry-optimized HoThTlHg structure.

Computed properties:
- M_tot (μB per cell) = 0.00
- space group = F-43m
- formation enthalpy at 0 K (eV per atom) = -0.254

a b c (Å): 5.392 5.392 5.392
angles (deg): 60.00 60.00 60.00
Fractional coordinates of all 4 atoms:
Tl1 0.500 0.500 0.500
Ho1 0.250 0.250 0.250
Th1 0.750 0.750 0.750
Hg1 0.000 0.000 0.000